Material: Y4C5
Method: DFT, PBE-GGA
State: relaxed

Cell and atoms, written as CIF:
```
data_Y4C5
_cell_length_a 6.6090
_cell_length_b 11.9968
_cell_length_c 3.6851
_cell_angle_alpha 90.00
_cell_angle_beta 90.00
_cell_angle_gamma 90.00
_symmetry_space_group_name_H-M 'P b a m'
_symmetry_Int_Tables_number 55
_symmetry_space_group_name_Hall '-P 2 2ab'
loop_
_atom_site_label
_atom_site_type_symbol
_atom_site_fract_x
_atom_site_fract_y
_atom_site_fract_z
Y1 Y 0.1080 0.1948 0.0000
Y2 Y 0.2442 0.9568 0.5000
C1 C 0.0000 0.0000 0.0000
C2 C 0.0979 0.6550 0.5000
C3 C 0.1370 0.7638 0.5000
```

Properties
energy above the most stable polymorph in this dataset: 0.000 eV/atom
energy of formation: -0.33 eV per atom